1.
First-principles (GGA-PBE) data for crystalline PrFeS at its relaxed geometry, as listed in Alexandria via LeMat-Bulk.

Cell: 4.6291 4.6291 8.0613 Å, 73.31 73.31 60.00°
Fractional coordinates of all 6 atoms:
1 S 0.2824 0.2824 0.1528
2 Pr 0.5858 0.5858 0.2426
3 Pr 0.4142 0.4142 0.7574
4 Fe 0.8234 0.8234 0.5298
5 Fe 0.1766 0.1766 0.4702
6 S 0.7176 0.7176 0.8472

- E_tot: -39.29 eV/cell
- SG: R-3m (166)
- ΔE_f (raw): -0.759 eV/atom



2.
First-principles (GGA-PBE) data for crystalline TbSm3Rh at its relaxed geometry, as listed in Alexandria via LeMat-Bulk.

Cell: 7.3894 7.3894 7.3894 Å, 107.77 111.80 108.87°
Fractional coordinates of all 10 atoms:
1 Sm 0.4919 0.3338 0.2619
2 Tb 0.5392 0.8316 0.2077
3 Sm 0.0213 0.7304 0.7909
4 Sm 0.0719 0.8338 0.3419
5 Rh 0.4151 0.0325 0.8826
6 Tb 0.6239 0.3316 0.7923
7 Sm 0.9394 0.2304 0.2091
8 Rh 0.1500 0.5325 0.1174
9 Sm 0.4919 0.7300 0.6581
10 Sm 0.0719 0.2300 0.7381

- Energy above the lowest structure with this stoichiometry: 33 meV/atom
- E_tot: -55.48 eV/cell
- E_form: -0.320 eV/atom
- SG: Ima2 (46)



> The highest E_tot belongs to which entry?

PrFeS



> Among the records above, which one has the highest E_tot?

PrFeS



> E_tot of number 1 (PrFeS)?

-39.29 eV/cell